An optimized crystal structure of UGaO4F. Source: Alexandria, functional GGA-PBE.

Properties
Formation energy (no corrections) (eV per atom): -2.62
Calculated total energy (eV per atom): -7.76

a b c (Å): 5.8324 5.8324 7.3567
angles (deg): 106.35 106.35 72.36
With the nearest neighbours (Å) after each atom.
Fractional positions:
U 0.2145 0.2145 0.1644  4 O 2.00-2.02
U 0.7855 0.7855 0.8356  4 O 2.00-2.02
Ga 0.3533 0.3533 0.7135  4 O 1.82-1.87
Ga 0.6467 0.6467 0.2865  4 O 1.82-1.87
O 0.0898 0.5114 0.8382  1 Ga 1.87, 1 U 2.00
O 0.2528 0.2528 0.4527  1 Ga 1.82, 1 U 2.02
O 0.4400 0.4400 0.2236  1 Ga 1.84, 1 U 2.01
O 0.4886 0.9102 0.1618  1 Ga 1.87, 1 U 2.00
O 0.5114 0.0898 0.8382  1 Ga 1.87, 1 U 2.00
O 0.5600 0.5600 0.7764  1 Ga 1.84, 1 U 2.01
O 0.7472 0.7472 0.5473  1 Ga 1.82, 1 U 2.02
O 0.9102 0.4886 0.1618  1 Ga 1.87, 1 U 2.00
F 0.0313 0.0313 0.8471  2 U 2.29-2.37, 1 F 2.52
F 0.9687 0.9687 0.1529  2 U 2.29-2.37, 1 F 2.52